Computed, not measured: a relaxed TaAl2GaCo crystal at the PBE level of DFT.

Unit cell a=5.1809 b=5.1809 c=4.4055 alpha=90.00 beta=90.00 gamma=90.00
Fractional coordinates of all 5 atoms:
Ta 0.0000 0.0000 0.0000
Al 0.0000 0.5000 0.0000
Al 0.5000 0.0000 0.0000
Ga 0.5000 0.5000 0.5000
Co 0.0000 0.0000 0.5000

V   118 Å³ per cell
Energy of formation   102 kJ per mole of atoms
VASP energy   -24.18 eV for the cell shown
Energy above the lowest structure with this stoichiometry   0.870 eV/atom
Magnetic moment   0.8 Bohr magnetons per cell